# PBE Fe2PdN, relaxed
data_Fe2PdN
_cell_length_a 5.8611
_cell_length_b 5.8611
_cell_length_c 5.4966
_cell_angle_alpha 90.00
_cell_angle_beta 90.00
_cell_angle_gamma 90.00
_symmetry_space_group_name_H-M 'I -4 2 d'
_symmetry_Int_Tables_number 122
_symmetry_space_group_name_Hall 'I -4 2bw'
loop_
_atom_site_label
_atom_site_fract_x
_atom_site_fract_y
_atom_site_fract_z
Fe1 0.1357 0.2500 0.1250
Pd1 0.0000 0.0000 0.5000
N1 0.0000 0.0000 0.0000
# Calculated density ... 8.2 g/cm³
# E ... -119.31 eV per cell

---

# PBE FePdN3, relaxed
data_FePdN3
_cell_length_a 3.8456
_cell_length_b 3.8456
_cell_length_c 3.8456
_cell_angle_alpha 90.00
_cell_angle_beta 90.00
_cell_angle_gamma 90.00
_symmetry_space_group_name_H-M 'P m -3 m'
_symmetry_Int_Tables_number 221
_symmetry_space_group_name_Hall '-P 4 2 3'
loop_
_atom_site_label
_atom_site_fract_x
_atom_site_fract_y
_atom_site_fract_z
Fe1 0.0000 0.0000 0.0000
Pd1 0.5000 0.5000 0.5000
N1 0.0000 0.5000 0.5000
# Calculated density ... 6.0 g/cm³
# E ... -26.31 eV per cell

---

# PBE FePdN, relaxed
data_FePdN
_cell_length_a 2.8761
_cell_length_b 5.1792
_cell_length_c 5.2693
_cell_angle_alpha 104.17
_cell_angle_beta 105.66
_cell_angle_gamma 90.15
_symmetry_space_group_name_H-M 'P -1'
_symmetry_Int_Tables_number 2
loop_
_symmetry_equiv_pos_as_xyz
'x,y,z'
'-x,-y,-z'
loop_
_atom_site_label
_atom_site_fract_x
_atom_site_fract_y
_atom_site_fract_z
Fe1 0.0894 0.2138 0.1767
Pd1 0.3537 0.1923 0.7106
N1 0.3787 0.6043 0.7612
# Calculated density ... 8.0 g/cm³
# E ... -41.98 eV per cell

---

# PBE Fe2PdPtN, relaxed
data_Fe2PdPtN
_cell_length_a 3.8827
_cell_length_b 3.8827
_cell_length_c 4.1553
_cell_angle_alpha 90.00
_cell_angle_beta 90.00
_cell_angle_gamma 90.00
_symmetry_space_group_name_H-M 'P 4/m m m'
_symmetry_Int_Tables_number 123
_symmetry_space_group_name_Hall '-P 4 2'
loop_
_atom_site_label
_atom_site_fract_x
_atom_site_fract_y
_atom_site_fract_z
Fe1 0.0000 0.5000 0.0000
Pd1 0.0000 0.0000 0.5000
Pt1 0.5000 0.5000 0.5000
N1 0.0000 0.0000 0.0000
# Calculated density ... 11.3 g/cm³
# E ... -36.49 eV per cell
# Energy relative to the lowest polymorph listed for this composition ... 0 kJ/mol of formula units

---

# PBE Fe2PdPtN, relaxed
data_Fe2PdPtN
_cell_length_a 3.8933
_cell_length_b 3.8933
_cell_length_c 4.1664
_cell_angle_alpha 90.00
_cell_angle_beta 90.00
_cell_angle_gamma 90.00
_symmetry_space_group_name_H-M 'P 4/m m m'
_symmetry_Int_Tables_number 123
_symmetry_space_group_name_Hall '-P 4 2'
loop_
_atom_site_label
_atom_site_fract_x
_atom_site_fract_y
_atom_site_fract_z
Fe1 0.0000 0.5000 0.0000
Pd1 0.0000 0.0000 0.5000
Pt1 0.5000 0.5000 0.5000
N1 0.5000 0.5000 0.0000
# Calculated density ... 11.2 g/cm³
# E ... -36.29 eV per cell
# Energy relative to the lowest polymorph listed for this composition ... 20 kJ/mol of formula units

---

# PBE Fe2PdRhN, relaxed
data_Fe2PdRhN
_cell_length_a 3.8927
_cell_length_b 3.8927
_cell_length_c 4.0397
_cell_angle_alpha 90.00
_cell_angle_beta 90.00
_cell_angle_gamma 90.00
_symmetry_space_group_name_H-M 'P 4/m m m'
_symmetry_Int_Tables_number 123
_symmetry_space_group_name_Hall '-P 4 2'
loop_
_atom_site_label
_atom_site_fract_x
_atom_site_fract_y
_atom_site_fract_z
Fe1 0.0000 0.5000 0.0000
Pd1 0.0000 0.0000 0.5000
Rh1 0.5000 0.5000 0.5000
N1 0.5000 0.5000 0.0000
# Calculated density ... 9.1 g/cm³
# E ... -37.83 eV per cell

---

# PBE FePdSN2, relaxed
data_FePdSN2
_cell_length_a 3.8891
_cell_length_b 3.8891
_cell_length_c 5.1917
_cell_angle_alpha 90.00
_cell_angle_beta 90.00
_cell_angle_gamma 90.00
_symmetry_space_group_name_H-M 'P 4/m m m'
_symmetry_Int_Tables_number 123
_symmetry_space_group_name_Hall '-P 4 2'
loop_
_atom_site_label
_atom_site_fract_x
_atom_site_fract_y
_atom_site_fract_z
Fe1 0.0000 0.0000 0.0000
Pd1 0.5000 0.5000 0.5000
S1 0.5000 0.5000 0.0000
N1 0.0000 0.5000 0.5000
# Calculated density ... 4.7 g/cm³
# E ... -26.48 eV per cell
# Energy relative to the lowest polymorph listed for this composition ... 399 kJ/mol of formula units

---

# PBE FePdSN2, relaxed
data_FePdSN2
_cell_length_a 3.5088
_cell_length_b 3.5088
_cell_length_c 5.2976
_cell_angle_alpha 90.00
_cell_angle_beta 90.00
_cell_angle_gamma 90.00
_symmetry_space_group_name_H-M 'P 4/m m m'
_symmetry_Int_Tables_number 123
_symmetry_space_group_name_Hall '-P 4 2'
loop_
_atom_site_label
_atom_site_fract_x
_atom_site_fract_y
_atom_site_fract_z
Fe1 0.0000 0.0000 0.0000
Pd1 0.5000 0.5000 0.5000
S1 0.0000 0.0000 0.5000
N1 0.0000 0.5000 0.0000
# Calculated density ... 5.7 g/cm³
# E ... -30.61 eV per cell
# Energy relative to the lowest polymorph listed for this composition ... 0 kJ/mol of formula units